Density functional theory data (GGA-PBE) for a relaxed structure of Pm2Pd3Au.

```
Pm2Pd3Au
1.0
-2.938 -0.436 2.587
0.880 -3.757 0.367
6.641 4.065 5.226
Pm Pd Au
2 3 1
Direct
0.128 0.128 0.257
0.865 0.365 0.730
0.702 0.702 0.405
0.555 0.555 0.109
0.299 0.799 0.598
0.451 0.951 0.901
```

The final energy is -5.4332 eV/atom. The calculated density comes out at 9.8 Mg/m³.